# 1
First-principles (GGA+U) data for a relaxed WCO2 crystal, as listed in Alexandria.

The value obtained for the total energy is -6.77 eV/atom. Its spin magnetization is 1.23 μB per formula unit.

It has space group P4/mmm (No. 123), with a = 3.8885 Å, b = 3.8885 Å, c = 4.1933 Å, α = 90.00°, β = 90.00° and γ = 90.00°. The inequivalent atoms are W at (0.0000, 0.0000, 0.0000), C at (0.0000, 0.0000, 0.5000) and O at (0.0000, 0.5000, 0.0000).


# 2
First-principles (GGA+U) data for a relaxed W2CO crystal, as listed in Alexandria.

The value obtained for the total energy is -6.45 eV/atom. Its spin magnetization is 0.15 μB per formula unit. The calculation puts the excess energy over the best structure of this formula in the dataset at 1.96 eV/f.u.

It has space group Fm-3m (No. 225), with a = 5.5970 Å, b = 5.5970 Å, c = 5.5970 Å, α = 90.00°, β = 90.00° and γ = 90.00°. The inequivalent atoms are W at (0.2500, 0.2500, 0.2500), C at (0.0000, 0.0000, 0.0000) and O at (0.0000, 0.0000, 0.5000).


# 3
First-principles (GGA+U) data for a relaxed W2CO crystal, as listed in Alexandria.

The value obtained for the total energy is -6.94 eV/atom. Its spin magnetization is 4.05 μB per formula unit. The calculation puts the excess energy over the best structure of this formula in the dataset at 0.00 eV/f.u.

It has space group I-42d (No. 122), with a = 4.9515 Å, b = 4.9515 Å, c = 9.5897 Å, α = 90.00°, β = 90.00° and γ = 90.00°. The inequivalent atoms are W at (0.2437, 0.2500, 0.1250), C at (0.0000, 0.0000, 0.0000) and O at (0.0000, 0.0000, 0.5000).